# RbTe3IrAu | the Open Quantum Materials Database | PBE | optimized geometry
data_RbTe3IrAu
_chemical_formula_sum 'Rb4 Te12 Ir4 Au4'
_cell_length_a 4.015
_cell_length_b 17.231
_cell_length_c 10.836
_cell_angle_alpha 90.00
_cell_angle_beta 90.00
_cell_angle_gamma 90.00
_symmetry_space_group_name_H-M 'C m c m'
_symmetry_Int_Tables_number 63
_symmetry_space_group_name_Hall '-C 2c 2'
loop_
_atom_site_label
_atom_site_fract_x
_atom_site_fract_y
_atom_site_fract_z
_atom_site_occupancy
Rb1 0.000 0.241 0.250 1
Te1 0.000 0.103 0.509 1
Te2 0.000 0.457 0.750 1
Ir1 0.000 0.500 0.000 1
Au1 0.000 0.100 0.750 1
# **VASP energy**: -4.03 eV per atom